# 1
Here is a relaxed structure of RbNaB2H from Alexandria via LeMat-Bulk. Energies are from PBE.

Geometry as extended XYZ:
```
5
Lattice="4.693 0.000 0.000 0.000 4.693 0.000 0.000 0.000 7.822" Properties=species:S:1:pos:R:3 pbc="T T T"
Rb 0.000 0.000 0.000
Na 0.000 0.000 3.911
B 0.000 2.346 3.911
B 2.346 0.000 3.911
H 2.346 2.346 0.000
```

## Properties
E: -1.712 eV per atom

***

# 2
Here is a relaxed structure of AcHoOs4 from Alexandria via LeMat-Bulk. Energies are from PBE.

Geometry as extended XYZ:
```
6
Lattice="0.000 3.868 3.868 3.868 0.000 3.868 3.868 3.868 0.000" Properties=species:S:1:pos:R:3 pbc="T T T"
Ac 0.000 0.000 0.000
Ho 1.934 1.934 1.934
Os 4.830 2.906 2.906
Os 2.906 4.830 2.906
Os 2.906 2.906 4.830
Os 4.830 4.830 4.830
```

## Properties
energy of formation from the pure elements: 0.01 eV/atom

***

# 3
Here is a relaxed structure of Th3TlAu5 from Alexandria via LeMat-Bulk. Energies are from PBE.

Geometry as extended XYZ:
```
18
Lattice="8.951 0.000 0.000 -4.475 7.752 0.000 0.000 0.000 6.333" Properties=species:S:1:pos:R:3 pbc="T T T"
Th -1.583 2.741 1.583
Th -2.893 5.011 4.749
Th 3.165 0.000 1.583
Th 1.583 2.741 4.749
Th 5.786 0.000 4.749
Th 2.893 5.011 1.583
Tl 0.000 0.000 0.000
Tl 0.000 0.000 3.166
Au -1.417 2.455 4.749
Au -3.058 5.297 1.583
Au 2.835 0.000 4.749
Au 1.417 2.455 1.583
Au 0.000 5.168 0.000
Au 0.000 5.168 3.166
Au 4.475 2.584 0.000
Au 4.475 2.584 3.166
Au 6.116 0.000 1.583
Au 3.058 5.297 4.749
```

## Properties
energy of formation from the pure elements: -0.60 eV/atom

***

# 4
Here is a relaxed structure of Pu2FeMoN5 from Alexandria via LeMat-Bulk. Energies are from PBE.

Geometry as extended XYZ:
```
18
Lattice="1.588 -6.388 0.000 1.588 6.388 0.000 0.000 0.000 9.940" Properties=species:S:1:pos:R:3 pbc="T T T"
Pu 1.588 5.080 4.970
Pu 1.588 4.496 1.130
Pu 1.588 -4.496 6.101
Pu 1.588 -5.080 0.000
Fe 1.588 0.228 2.680
Fe 1.588 -0.228 7.650
Mo 1.588 3.740 8.174
Mo 1.588 -3.740 3.204
N 1.588 5.743 8.634
N 1.588 2.765 4.614
N 1.588 2.230 1.768
N 1.588 1.677 8.015
N 1.588 0.213 5.839
N 1.588 -0.213 0.869
N 1.588 -1.677 3.045
N 1.588 -2.230 6.738
N 1.588 -2.765 9.584
N 1.588 -5.743 3.664
```

## Properties
formation energy without anion corrections: -0.69 eV/atom

***

# 5
Here is a relaxed structure of ZnReBiP2 from Alexandria via LeMat-Bulk. Energies are from PBE.

Geometry as extended XYZ:
```
5
Lattice="5.296 0.000 0.000 0.000 5.296 0.000 0.000 0.000 5.373" Properties=species:S:1:pos:R:3 pbc="T T T"
Zn 0.000 0.000 0.000
Re 2.648 2.648 0.000
Bi 2.648 2.648 2.687
P 0.000 2.648 2.687
P 2.648 0.000 2.687
```

## Properties
energy of formation from the pure elements: 2.13 eV/atom

***

# 6
Here is a relaxed structure of Fe3BRh from Alexandria via LeMat-Bulk. Energies are from PBE.

Geometry as extended XYZ:
```
5
Lattice="4.583 0.000 0.000 0.000 4.583 0.000 0.000 0.000 4.583" Properties=species:S:1:pos:R:3 pbc="T T T"
Fe 0.000 0.000 2.292
Fe 0.000 2.292 0.000
Fe 2.292 0.000 0.000
B 2.292 2.292 2.292
Rh 0.000 0.000 0.000
```

## Properties
energy of formation from the pure elements: 1.97 eV/atom

***

# 7
Here is a relaxed structure of Na2LaGe2 from Alexandria via LeMat-Bulk. Energies are from PBE.

Geometry as extended XYZ:
```
10
Lattice="8.700 0.000 0.000 0.000 8.700 0.000 0.000 0.000 3.116" Properties=species:S:1:pos:R:3 pbc="T T T"
Na 0.980 3.370 0.000
Na 3.370 7.721 0.000
Na 5.330 0.980 0.000
Na 7.721 5.330 0.000
La 0.000 0.000 0.000
La 4.350 4.350 0.000
Ge 1.621 5.971 1.558
Ge 2.729 1.621 1.558
Ge 5.971 7.079 1.558
Ge 7.079 2.729 1.558
```

## Properties
energy of formation from the pure elements: -0.16 eV/atom

***

# 8
Here is a relaxed structure of Rb3Pm3PuTe8 from Alexandria via LeMat-Bulk. Energies are from PBE.

Geometry as extended XYZ:
```
15
Lattice="4.557 2.631 8.724 -4.557 2.631 8.724 0.000 -5.262 8.724" Properties=species:S:1:pos:R:3 pbc="T T T"
Rb -2.279 -1.316 8.724
Rb -2.279 1.316 17.447
Rb 0.000 2.631 8.724
Pm -4.557 0.000 13.085
Pm -2.279 1.316 4.362
Pm 2.279 1.316 4.362
Pu 0.000 0.000 13.085
Te 0.000 0.000 6.144
Te -2.233 -1.289 14.811
Te 0.000 -2.578 11.359
Te -2.233 1.289 11.359
Te 2.233 -1.289 14.811
Te 0.000 2.578 14.811
Te 2.233 1.289 11.359
Te 0.000 0.000 20.027
```

## Properties
formation energy without anion corrections: -1.27 eV/atom

***

# 9
Here is a relaxed structure of TmZrTi from Alexandria via LeMat-Bulk. Energies are from PBE.

Geometry as extended XYZ:
```
6
Lattice="3.141 0.000 0.000 -0.001 5.872 0.000 -1.569 -2.428 7.629" Properties=species:S:1:pos:R:3 pbc="T T T"
Tm -0.002 2.048 1.495
Tm 1.573 1.395 6.134
Zr 0.000 -1.466 6.280
Zr 1.572 4.910 1.349
Ti 0.002 -0.060 3.701
Ti 1.570 3.504 3.928
```

## Properties
energy of formation from the pure elements: 0.14 eV/atom

***

# 10
Here is a relaxed structure of BaTcCl2 from Alexandria via LeMat-Bulk. Energies are from PBE.

Geometry as extended XYZ:
```
4
Lattice="-2.150 2.150 6.029 2.150 -2.150 6.029 2.150 2.150 -6.029" Properties=species:S:1:pos:R:3 pbc="T T T"
Ba 0.000 0.000 0.000
Tc 0.000 2.150 3.015
Cl 2.150 0.000 3.015
Cl 0.000 0.000 6.029
```

## Properties
formation energy without anion corrections: -0.28 eV/atom

***

# 11
Here is a relaxed structure of Zr2Zn16Ir from Alexandria via LeMat-Bulk. Energies are from PBE.

Geometry as extended XYZ:
```
19
Lattice="4.405 2.543 4.318 -4.405 2.543 4.318 0.000 -5.087 4.318" Properties=species:S:1:pos:R:3 pbc="T T T"
Zr 0.000 0.000 0.000
Zr 0.000 0.000 4.402
Zn 0.000 -2.510 2.550
Zn -2.174 1.255 2.550
Zn -2.195 -1.268 6.606
Zn 0.000 -2.701 6.366
Zn -2.339 1.350 6.366
Zn -1.298 -2.233 8.792
Zn -2.583 -0.007 8.792
Zn 2.174 1.255 2.550
Zn 0.000 0.000 7.438
Zn 2.195 -1.268 6.606
Zn 0.000 2.535 6.606
Zn 1.298 -2.233 8.792
Zn -1.285 2.241 8.792
Zn 2.339 1.350 6.366
Zn 2.583 -0.007 8.792
Zn 1.285 2.241 8.792
Ir 0.000 0.000 10.129
```

## Properties
energy of formation from the pure elements: -0.16 eV/atom

***

# 12
Here is a relaxed structure of HoMg8Rh2 from Alexandria via LeMat-Bulk. Energies are from PBE.

Geometry as extended XYZ:
```
11
Lattice="4.005 -6.056 0.000 4.005 6.056 0.000 -1.291 0.000 5.021" Properties=species:S:1:pos:R:3 pbc="T T T"
Ho 0.000 0.000 0.000
Mg 0.848 1.580 2.902
Mg 4.005 2.824 0.000
Mg 0.848 -1.580 2.902
Mg 3.032 0.000 1.128
Mg 3.686 0.000 3.893
Mg 5.870 1.580 2.119
Mg 4.005 -2.824 0.000
Mg 5.870 -1.580 2.119
Rh 3.359 2.315 2.511
Rh 3.359 -2.315 2.511
```

## Properties
energy of formation from the pure elements: -0.14 eV/atom